Entry 1:
ErMnVGe2 after structural relaxation, computed with GGA-PBE.

a b c (Å): 6.1949 6.1949 6.1949
angles (deg): 142.91 142.91 53.46
With the nearest neighbours (Å) after each atom.
Fractional coordinates of all 5 atoms:
Er1 0.0000 0.0000 0.0000  8 Ge 3.05, 4 V 3.40, 4 Mn 3.40
Mn1 0.2500 0.7500 0.5000  4 Ge 2.48
V1 0.7500 0.2500 0.5000  4 Ge 2.48
Ge1 0.3868 0.3868 0.0000  2 V 2.48, 2 Mn 2.48, 1 Ge 2.50
Ge2 0.6132 0.6132 0.0000  2 Mn 2.48, 2 V 2.48, 1 Ge 2.50

magnetization = 0.84 μB/f.u.
final energy = -0.253 hartree per atom
energy relative to the elements = -474 meV/atom
space group = I-4m2, No. 119

=====

Entry 2:
SrHoHg after structural relaxation, computed with GGA-PBE.

a b c (Å): 5.2501 5.2501 4.2263
angles (deg): 90.00 90.00 120.00
With the nearest neighbours (Å) after each atom.
Fractional coordinates of all 3 atoms:
Sr1 0.0000 0.0000 0.0000  6 Hg 3.69-3.70, 6 Ho 3.69-3.70
Ho1 0.3333 0.6667 0.5006  3 Hg 3.03
Hg1 0.6667 0.3333 0.4966  3 Ho 3.03

magnetization = 0.00 μB/f.u.
final energy = -0.086 hartree per atom
energy relative to the elements = -151 meV/atom
space group = P3m1, No. 156
relative energy among the computed polymorphs = 15.5 kJ per mole of atoms

=====

Entry 3:
Cd3AuC after structural relaxation, computed with GGA-PBE.

a b c (Å): 4.5977 4.5977 4.5977
angles (deg): 90.00 90.00 90.00
With the nearest neighbours (Å) after each atom.
Fractional coordinates of all 5 atoms:
Cd1 0.0000 0.0000 0.5000  2 C 2.30
Cd2 0.0000 0.5000 0.0000  2 C 2.30
Cd3 0.5000 0.0000 0.0000  2 C 2.30
Au1 0.5000 0.5000 0.5000  12 Cd 3.25
C1 0.0000 0.0000 0.0000  6 Cd 2.30

magnetization = 0.00 μB/f.u.
final energy = -0.089 hartree per atom
energy relative to the elements = 616 meV/atom
space group = Pm-3m, No. 221
relative energy among the computed polymorphs = 0.0 kJ per mole of atoms

=====

Entry 4:
B5C7 after structural relaxation, computed with GGA-PBE.

a b c (Å): 2.5955 2.6513 11.5925
angles (deg): 90.00 90.00 90.00
With the nearest neighbours (Å) after each atom.
Fractional coordinates of all 12 atoms:
B1 0.0000 0.0000 0.0000  4 C 1.63-1.67
B2 0.0000 0.0000 0.3252  4 C 1.64-1.68
B3 0.0000 0.5000 0.7214  2 C 1.51
B4 0.5000 0.0000 0.5760  4 C 1.61-1.71
B5 0.5000 0.5000 0.8517  2 C 1.51
C1 0.0000 0.0000 0.6587  4 B 1.51-1.61
C2 0.0000 0.5000 0.0883  2 C 1.56, 2 B 1.67
C3 0.0000 0.5000 0.4149  2 C 1.52, 2 B 1.68
C4 0.5000 0.0000 0.2388  2 C 1.59, 2 B 1.64
C5 0.5000 0.0000 0.9148  4 B 1.51-1.63
C6 0.5000 0.5000 0.1634  4 C 1.56-1.59
C7 0.5000 0.5000 0.4832  2 C 1.52

magnetization = 0.00 μB/f.u.
final energy = -0.287 hartree per atom
energy relative to the elements = 349 meV/atom
space group = Pmm2, No. 25
relative energy among the computed polymorphs = 8.8 kJ per mole of atoms

=====

Entry 5:
SmDy3 after structural relaxation, computed with GGA-PBE.

a b c (Å): 7.2423 7.2423 5.6978
angles (deg): 90.00 90.00 120.00
With the nearest neighbours (Å) after each atom.
Fractional coordinates of all 8 atoms:
Sm1 0.3333 0.6667 0.2500  12 Dy 3.54-3.62
Sm2 0.6667 0.3333 0.7500  12 Dy 3.54-3.62
Dy1 0.1663 0.3326 0.7500  8 Dy 3.53-3.63, 4 Sm 3.54-3.62
Dy2 0.1663 0.8337 0.7500  8 Dy 3.53-3.63, 4 Sm 3.54-3.62
Dy3 0.3326 0.1663 0.2500  8 Dy 3.53-3.63, 4 Sm 3.54-3.62
Dy4 0.6674 0.8337 0.7500  8 Dy 3.53-3.63, 4 Sm 3.54-3.62
Dy5 0.8337 0.1663 0.2500  8 Dy 3.53-3.63, 4 Sm 3.54-3.62
Dy6 0.8337 0.6674 0.2500  8 Dy 3.53-3.63, 4 Sm 3.54-3.62

magnetization = 0.00 μB/f.u.
final energy = -0.170 hartree per atom
energy relative to the elements = 13 meV/atom
space group = P6_3/mmc, No. 194
relative energy among the computed polymorphs = 0.0 kJ per mole of atoms

=====

Entry 6:
LiW2Cl after structural relaxation, computed with GGA-PBE.

a b c (Å): 3.2838 7.4129 7.4129
angles (deg): 25.65 90.00 90.00
With the nearest neighbours (Å) after each atom.
Fractional coordinates of all 4 atoms:
Li1 0.0000 0.0000 0.0000  4 Cl 2.41
W1 0.0000 0.7901 0.7901  4 W 2.57
W2 0.5000 0.3663 0.3663  4 W 2.57, 1 Cl 2.59
Cl1 0.5000 0.5451 0.5451  4 Li 2.41, 1 W 2.59

ΔE_f (raw) = 0.048 eV per atom
magnetization = 0.00 μB/f.u.
final energy = -0.271 hartree per atom
space group = Amm2, No. 38
relative energy among the computed polymorphs = 0.0 kJ per mole of atoms